Entry 1:
# Sr2ScAu2 (GGA-PBE, relaxed)
# Volume ... 286.4 Å³/cell
data_Sr2ScAu2
_symmetry_space_group_name_H-M 'P 4/m b m'
_symmetry_Int_Tables_number 127
_symmetry_space_group_name_Hall '-P 4 2ab'
_cell_length_a 7.751
_cell_length_b 7.751
_cell_length_c 4.768
_cell_angle_alpha 90.00
_cell_angle_beta 90.00
_cell_angle_gamma 90.00
loop_
_atom_site_label
_atom_site_type_symbol
_atom_site_fract_x
_atom_site_fract_y
_atom_site_fract_z
Sr1 Sr 0.168 0.332 0.000
Sc1 Sc 0.000 0.000 0.500
Au1 Au 0.141 0.641 0.500

---

Entry 2:
# TmAl8V2 (GGA-PBE, relaxed)
# Volume ... 396.1 Å³/cell
data_TmAl8V2
_symmetry_space_group_name_H-M 'C 1 2/m 1'
_symmetry_Int_Tables_number 12
_cell_length_a 7.106
_cell_length_b 11.708
_cell_length_c 5.010
_cell_angle_alpha 90.00
_cell_angle_beta 108.15
_cell_angle_gamma 90.00
loop_
_symmetry_equiv_pos_as_xyz
'x,y,z'
'-x,-y,-z'
'-x,y,-z'
'x,-y,z'
'x+1/2,y+1/2,z'
'-x+1/2,-y+1/2,-z'
'-x+1/2,y+1/2,-z'
'x+1/2,-y+1/2,z'
loop_
_atom_site_label
_atom_site_type_symbol
_atom_site_fract_x
_atom_site_fract_y
_atom_site_fract_z
Tm1 Tm 0.000 0.000 0.000
Al1 Al 0.000 0.265 0.000
Al2 Al 0.076 0.500 0.770
Al3 Al 0.209 0.111 0.617
V1 V 0.000 0.292 0.500

---

Entry 3:
# Pa3SbC2 (GGA-PBE, relaxed)
# Volume ... 263.9 Å³/cell
# E_form (uncorrected) ... -172 meV per atom
data_Pa3SbC2
_symmetry_space_group_name_H-M 'P 1 21/m 1'
_symmetry_Int_Tables_number 11
_cell_length_a 6.479
_cell_length_b 3.751
_cell_length_c 10.869
_cell_angle_alpha 90.00
_cell_angle_beta 92.45
_cell_angle_gamma 90.00
loop_
_symmetry_equiv_pos_as_xyz
'x,y,z'
'-x,-y,-z'
'-x,y+1/2,-z'
'x,-y+1/2,z'
loop_
_atom_site_label
_atom_site_type_symbol
_atom_site_fract_x
_atom_site_fract_y
_atom_site_fract_z
Pa1 Pa 0.090 0.250 0.163
Pa2 Pa 0.194 0.250 0.595
Pa3 Pa 0.397 0.250 0.866
Sb1 Sb 0.297 0.750 0.369
C1 C 0.211 0.750 0.734
C2 C 0.393 0.250 0.078

---

Entry 4:
# Ce8ZnOs2 (GGA-PBE, relaxed)
# Volume ... 533.2 Å³/cell
data_Ce8ZnOs2
_symmetry_space_group_name_H-M 'C 1 2/m 1'
_symmetry_Int_Tables_number 12
_cell_length_a 17.848
_cell_length_b 4.750
_cell_length_c 6.753
_cell_angle_alpha 90.00
_cell_angle_beta 111.38
_cell_angle_gamma 90.00
loop_
_symmetry_equiv_pos_as_xyz
'x,y,z'
'-x,-y,-z'
'-x,y,-z'
'x,-y,z'
'x+1/2,y+1/2,z'
'-x+1/2,-y+1/2,-z'
'-x+1/2,y+1/2,-z'
'x+1/2,-y+1/2,z'
loop_
_atom_site_label
_atom_site_type_symbol
_atom_site_fract_x
_atom_site_fract_y
_atom_site_fract_z
Ce1 Ce 0.011 0.000 0.246
Ce2 Ce 0.090 0.500 0.992
Ce3 Ce 0.175 0.500 0.530
Ce4 Ce 0.197 0.000 0.803
Zn1 Zn 0.000 0.500 0.500
Os1 Os 0.163 0.000 0.242

---

Entry 5:
# TmLuSnRh (GGA-PBE, relaxed)
# Volume ... 356.5 Å³/cell
data_TmLuSnRh
_symmetry_space_group_name_H-M 'F -4 3 m'
_symmetry_Int_Tables_number 216
_symmetry_space_group_name_Hall 'F -4 2 3'
_cell_length_a 7.091
_cell_length_b 7.091
_cell_length_c 7.091
_cell_angle_alpha 90.00
_cell_angle_beta 90.00
_cell_angle_gamma 90.00
loop_
_atom_site_label
_atom_site_type_symbol
_atom_site_fract_x
_atom_site_fract_y
_atom_site_fract_z
Tm1 Tm 0.000 0.000 0.000
Lu1 Lu 0.000 0.000 0.500
Sn1 Sn 0.250 0.250 0.750
Rh1 Rh 0.250 0.250 0.250

---

Entry 6:
# K4Pm3HgO8 (GGA-PBE, relaxed)
# Volume ... 564.1 Å³/cell
# E_form (uncorrected) ... -2110 meV per atom
data_K4Pm3HgO8
_symmetry_space_group_name_H-M 'C 1 2/m 1'
_symmetry_Int_Tables_number 12
_cell_length_a 12.611
_cell_length_b 7.069
_cell_length_c 7.483
_cell_angle_alpha 90.00
_cell_angle_beta 122.27
_cell_angle_gamma 90.00
loop_
_symmetry_equiv_pos_as_xyz
'x,y,z'
'-x,-y,-z'
'-x,y,-z'
'x,-y,z'
'x+1/2,y+1/2,z'
'-x+1/2,-y+1/2,-z'
'-x+1/2,y+1/2,-z'
'x+1/2,-y+1/2,z'
loop_
_atom_site_label
_atom_site_type_symbol
_atom_site_fract_x
_atom_site_fract_y
_atom_site_fract_z
K1 K 0.000 0.000 0.000
K2 K 0.000 0.500 0.000
K3 K 0.250 0.250 0.000
Pm1 Pm 0.000 0.000 0.500
Pm2 Pm 0.250 0.250 0.500
Hg1 Hg 0.000 0.500 0.500
O1 O 0.021 0.256 0.309
O2 O 0.224 0.000 0.688
O3 O 0.243 0.000 0.286

---

Entry 7:
# Sr2Cd6AgPd (GGA-PBE, relaxed)
# Volume ... 1628.8 Å³/cell
data_Sr2Cd6AgPd
_symmetry_space_group_name_H-M 'R -3 m'
_symmetry_Int_Tables_number 166
_symmetry_space_group_name_Hall '-R 3 2"'
_cell_length_a 7.1095
_cell_length_b 7.1095
_cell_length_c 37.2089
_cell_angle_alpha 90.00
_cell_angle_beta 90.00
_cell_angle_gamma 120.00
loop_
_atom_site_label
_atom_site_type_symbol
_atom_site_fract_x
_atom_site_fract_y
_atom_site_fract_z
Sr1 Sr 0.0000 0.0000 0.1096
Sr2 Sr 0.0000 0.0000 0.2820
Cd1 Cd 0.0445 0.5222 0.2992
Cd2 Cd 0.0593 0.5297 0.8658
Ag1 Ag 0.0000 0.0000 0.4256
Pd1 Pd 0.0000 0.0000 0.0000
Pd2 Pd 0.0000 0.0000 0.5000

---

Entry 8:
# Rb2PNCl (GGA-PBE, relaxed)
# Volume ... 142.5 Å³/cell
# E_form (uncorrected) ... 575 meV per atom
data_Rb2PNCl
_symmetry_space_group_name_H-M 'P 4/m m m'
_symmetry_Int_Tables_number 123
_symmetry_space_group_name_Hall '-P 4 2'
_cell_length_a 6.208
_cell_length_b 6.208
_cell_length_c 3.696
_cell_angle_alpha 90.00
_cell_angle_beta 90.00
_cell_angle_gamma 90.00
loop_
_atom_site_label
_atom_site_type_symbol
_atom_site_fract_x
_atom_site_fract_y
_atom_site_fract_z
Rb1 Rb 0.000 0.500 0.000
P1 P 0.000 0.000 0.500
N1 N 0.500 0.500 0.000
Cl1 Cl 0.500 0.500 0.500

---

| no. | energy (eV per atom) |
| --- | --- |
| 1 | -3.7993 |
| 2 | -4.7536 |
| 3 | -8.6820 |
| 4 | -6.6012 |
| 5 | -5.7670 |
| 6 | -5.7728 |
| 7 | -1.9253 |
| 8 | -2.9284 |